[1]
VASP calculation (GGA-PBE) on CdPOsCl2 after structural relaxation.

a = 4.907 Å, b = 4.907 Å, c = 5.437 Å
α = 90.00°, β = 90.00°, γ = 90.00°
Space group P4/mmm (No. 123)
Unique sites:
Cd 0.000 0.000 0.000 (multiplicity 1)
P 0.000 0.000 0.500 (multiplicity 1)
Os 0.500 0.500 0.500 (multiplicity 1)
Cl 0.000 0.500 0.000 (multiplicity 2)

As for the total energy: -14.532 eV per cell. The energy relative to the lowest polymorph listed for this composition comes out at 5.34 eV/f.u. The value obtained for the formation energy from raw total energies is 1.34 eV/atom.

---

[2]
VASP calculation (GGA-PBE) on CsNa2HgSe after structural relaxation.

a = 5.610 Å, b = 5.610 Å, c = 7.152 Å
α = 90.00°, β = 90.00°, γ = 90.00°
Space group P4/mmm (No. 123)
Unique sites:
Cs 0.000 0.000 0.000 (multiplicity 1)
Na 0.000 0.500 0.500 (multiplicity 2)
Hg 0.500 0.500 0.000 (multiplicity 1)
Se 0.000 0.000 0.500 (multiplicity 1)

As for the total energy: -10.116 eV per cell. The value obtained for the formation energy from raw total energies is -0.57 eV/atom.

---

[3]
VASP calculation (GGA-PBE) on Ac2In6Ni after structural relaxation.

a = 4.138 Å, b = 4.700 Å, c = 26.737 Å
α = 90.00°, β = 90.00°, γ = 90.00°
Space group Amm2 (No. 38)
Unique sites:
Ac 0.000 0.000 0.000 (multiplicity 2)
Ac 0.000 0.000 0.323 (multiplicity 2)
In 0.000 0.000 0.607 (multiplicity 2)
In 0.000 0.000 0.721 (multiplicity 2)
In 0.500 0.000 0.104 (multiplicity 2)
In 0.500 0.000 0.214 (multiplicity 2)
In 0.500 0.000 0.442 (multiplicity 2)
In 0.500 0.000 0.878 (multiplicity 2)
Ni 0.500 0.000 0.541 (multiplicity 2)

As for the total energy: -65.164 eV per cell. For the formation energy, the calculation gives -239 meV/atom.

---

[4]
VASP calculation (GGA-PBE) on RbLa2Cl8 after structural relaxation.

a = 14.105 Å, b = 8.821 Å, c = 5.427 Å
α = 90.00°, β = 90.22°, γ = 90.00°
Space group C2/m (No. 12)
Unique sites:
Rb 0.000 0.000 0.000 (multiplicity 2)
La 0.198 0.500 0.501 (multiplicity 4)
Cl 0.000 0.500 0.246 (multiplicity 4)
Cl 0.135 0.193 0.497 (multiplicity 8)
Cl 0.243 0.500 0.002 (multiplicity 4)

As for the total energy: -97.351 eV per cell. The value obtained for the formation energy from raw total energies is -2.10 eV/atom.